a) First-principles (PBE with a Hubbard U) data for a relaxed structure of CrPCl2O, as listed in the Alexandria database.

a b c (Å): 4.3983 4.3983 4.6841
angles (deg): 90.00 90.00 90.00
With the nearest neighbours (Å) after each atom.
Fractional coordinates of all 5 atoms:
Cr1 0.0000 0.0000 0.0000  4 Cl 2.20, 2 P 2.34
P1 0.0000 0.0000 0.5000  2 Cr 2.34
Cl1 0.0000 0.5000 0.0000  2 Cr 2.20
Cl2 0.5000 0.0000 0.0000  2 Cr 2.20
O1 0.5000 0.5000 0.5000  4 P 3.11, 8 Cl 3.21

Space group: No. 123
N(E_F) (states/eV/atom): 1.202
Size of the total moment (μB per atom): 0.000



b) First-principles (PBE with a Hubbard U) data for a relaxed structure of CrPCl2O, as listed in the Alexandria database.

a b c (Å): 5.5490 5.5490 3.3433
angles (deg): 90.00 90.00 90.00
With the nearest neighbours (Å) after each atom.
Fractional coordinates of all 5 atoms:
Cr1 0.0000 0.0000 0.0000  8 Cl 3.24, 2 Cr 3.34
P1 0.5000 0.5000 0.0000  2 O 1.67
Cl1 0.0000 0.5000 0.5000  2 O 2.77
Cl2 0.5000 0.0000 0.5000  2 O 2.77
O1 0.5000 0.5000 0.5000  2 P 1.67

Space group: No. 123
N(E_F) (states/eV/atom): 0.531
Size of the total moment (μB per atom): 0.938



What should be chosen as the most stable of them? Choose b).